[1]
Below is crystalline Sb3O2F5 at its relaxed geometry, with properties calculated at the GGA-PBE level.

Unit cell a=6.0441 b=9.5079 c=13.4913 alpha=70.02 beta=90.00 gamma=90.00
Closest atoms and distances in Å follow each position.
Fractional positions:
Sb 0.0424 0.0922 0.8619  1 F 1.99, 2 O 2.06-2.17
O 0.8441 0.9188 0.9918  2 Sb 2.04-2.06
Sb 0.9352 0.7500 0.5000  4 F 1.97-2.14
Sb 0.9576 0.9078 0.1381  1 F 1.99, 2 O 2.06-2.17
F 0.4529 0.4909 0.2021  1 Sb 2.02
O 0.8441 0.5812 0.0082  2 Sb 2.04-2.06
Sb 0.3722 0.2500 0.0000  4 O 2.04-2.21
Sb 0.9576 0.5922 0.8619  1 F 1.99, 2 O 2.06-2.17
F 0.7133 0.9108 0.4513  1 Sb 1.97
O 0.1559 0.4188 0.9918  2 Sb 2.04-2.06
O 0.7438 0.7158 0.1616  3 Sb 2.01-2.21
F 0.2062 0.7695 0.1414  1 Sb 1.99
F 0.8585 0.7222 0.3533  2 Sb 2.14-2.37
F 0.2062 0.7305 0.8586  1 Sb 1.99
Sb 0.0648 0.2500 0.5000  4 F 1.97-2.14
Sb 0.5653 0.6092 0.2911  2 F 1.98-2.02, 1 O 2.01
Sb 0.0424 0.4078 0.1381  1 F 1.99, 2 O 2.06-2.17
Sb 0.4347 0.3908 0.7089  2 F 1.98-2.02, 1 O 2.01
O 0.2562 0.2158 0.1616  3 Sb 2.01-2.21
F 0.2231 0.5585 0.6553  1 Sb 1.98
Sb 0.6278 0.7500 0.0000  4 O 2.04-2.21
F 0.2867 0.0892 0.5487  1 Sb 1.97
F 0.5471 0.9909 0.2021  1 Sb 2.02
O 0.7438 0.7842 0.8384  3 Sb 2.01-2.21
F 0.2231 0.9415 0.3447  1 Sb 1.98
F 0.7938 0.2305 0.8586  1 Sb 1.99
F 0.7938 0.2695 0.1414  1 Sb 1.99
Sb 0.4347 0.1092 0.2911  2 F 1.98-2.02, 1 O 2.01
O 0.1559 0.0812 0.0082  2 Sb 2.04-2.06
F 0.1415 0.2222 0.3533  2 Sb 2.14-2.37
F 0.5471 0.5091 0.7979  1 Sb 2.02
Sb 0.5653 0.8908 0.7089  2 F 1.98-2.02, 1 O 2.01
O 0.2562 0.2842 0.8384  3 Sb 2.01-2.21
F 0.7133 0.5892 0.5487  1 Sb 1.97
F 0.2867 0.4108 0.4513  1 Sb 1.97
F 0.1415 0.2778 0.6467  2 Sb 2.14-2.37
F 0.4529 0.0091 0.7979  1 Sb 2.02
F 0.7769 0.4415 0.3447  1 Sb 1.98
F 0.8585 0.7778 0.6467  2 Sb 2.14-2.37
F 0.7769 0.0585 0.6553  1 Sb 1.98

Properties
* total magnetization: 0.000 μB per cell
* space-group type: P2/c, No. 13
* distance to the lowest polymorph of the same formula: 0.00 eV per formula unit
* total DFT energy (no corrections): -5.218 eV/atom
* uncorrected formation energy: -2.0544 eV per atom



[2]
Below is crystalline Sb2O2F at its relaxed geometry, with properties calculated at the GGA-PBE level.

Unit cell a=4.4171 b=4.4170 c=5.8631 alpha=112.53 beta=112.53 gamma=106.28
Closest atoms and distances in Å follow each position.
Fractional positions:
O 0.1854 0.8146 0.5000  2 Sb 2.08
O 0.8146 0.1854 0.5000  2 Sb 2.08
Sb 0.6093 0.6093 0.3200  2 O 2.08
F 0.0000 0.0000 0.0000  2 Sb 2.49
Sb 0.3907 0.3907 0.6800  2 O 2.08

Properties
* total magnetization: 0.000 μB per cell
* space-group type: C2/m, No. 12
* total DFT energy (no corrections): -5.207 eV/atom
* uncorrected formation energy: -1.2008 eV per atom



[3]
Below is crystalline Sb5O7F at its relaxed geometry, with properties calculated at the GGA-PBE level.

Unit cell a=4.1595 b=10.3796 c=13.1546 alpha=71.04 beta=79.20 gamma=77.87
Closest atoms and distances in Å follow each position.
Fractional positions:
Sb 0.8359 0.2655 0.0923  4 O 2.11-2.22, 1 F 2.13
O 0.3700 0.7084 0.5362  3 Sb 2.02-2.22
F 0.9450 0.1760 0.9624  1 Sb 2.13
O 0.7377 0.2564 0.2573  2 Sb 1.99-2.11
O 0.0633 0.2985 0.5690  3 Sb 2.10-2.19
O 0.5823 0.0929 0.6950  2 Sb 2.02-2.07
Sb 0.4690 0.7018 0.3815  4 O 2.02-2.19
O 0.7472 0.8763 0.5895  2 Sb 1.99-2.13
Sb 0.7581 0.0626 0.3528  2 O 1.99-2.13
Sb 0.2419 0.9374 0.6472  2 O 1.99-2.13
Sb 0.5310 0.2982 0.6185  4 O 2.02-2.19
Sb 0.5307 0.0133 0.8625  3 O 2.02-2.17
O 0.6440 0.8077 0.8862  3 Sb 2.02-2.22
Sb 0.1641 0.7345 0.9077  4 O 2.11-2.22, 1 F 2.13
Sb 0.1502 0.3232 0.4018  4 O 1.99-2.22
O 0.8952 0.0447 0.1746  4 Sb 2.17-2.36
O 0.4177 0.9071 0.3050  2 Sb 2.02-2.07
O 0.1048 0.9553 0.8254  4 Sb 2.17-2.36
Sb 0.4693 0.9867 0.1375  3 O 2.02-2.17
O 0.6300 0.2916 0.4638  3 Sb 2.02-2.22
F 0.0550 0.8240 0.0376  1 Sb 2.13
O 0.2623 0.7436 0.7427  2 Sb 1.99-2.11
Sb 0.8498 0.6768 0.5982  4 O 1.99-2.22
O 0.2528 0.1237 0.4105  2 Sb 1.99-2.13
O 0.3560 0.1923 0.1138  3 Sb 2.02-2.22
O 0.9367 0.7015 0.4310  3 Sb 2.10-2.19

Properties
* total magnetization: 0.000 μB per cell
* space-group type: P-1, No. 2
* distance to the lowest polymorph of the same formula: 0.32 eV per formula unit
* total DFT energy (no corrections): -5.776 eV/atom
* uncorrected formation energy: -1.3766 eV per atom



[4]
Below is crystalline Sb2OF3 at its relaxed geometry, with properties calculated at the GGA-PBE level.

Unit cell a=3.3625 b=9.2640 c=10.7453 alpha=43.23 beta=81.00 gamma=79.54
Closest atoms and distances in Å follow each position.
Fractional positions:
F 0.0290 0.6534 0.2886  1 Sb 1.97
F 0.9710 0.3466 0.7114  1 Sb 1.97
Sb 0.8609 0.5151 0.7630  1 F 1.97, 2 O 2.15
Sb 0.6093 0.0761 0.7054  1 F 1.99, 1 O 2.11
Sb 0.3907 0.9239 0.2946  1 F 1.99, 1 O 2.11
O 0.3717 0.6754 0.5811  3 Sb 2.11-2.15
F 0.7192 0.8665 0.6951  1 Sb 1.99
F 0.6140 0.7370 0.0350  3 Sb 2.37-2.49
F 0.2808 0.1335 0.3049  1 Sb 1.99
O 0.6283 0.3246 0.4189  3 Sb 2.11-2.15
Sb 0.1391 0.4849 0.2370  1 F 1.97, 2 O 2.15
F 0.3860 0.2630 0.9650  3 Sb 2.37-2.49

Properties
* total magnetization: 0.000 μB per cell
* space-group type: C2/m, No. 12
* total DFT energy (no corrections): -4.962 eV/atom
* uncorrected formation energy: -1.8261 eV per atom



[5]
Below is crystalline SbO2F2 at its relaxed geometry, with properties calculated at the GGA-PBE level.

Unit cell a=3.6782 b=3.6782 c=4.2259 alpha=90.00 beta=90.00 gamma=90.00
Closest atoms and distances in Å follow each position.
Fractional positions:
F 0.0000 0.0000 0.0000  4 O 1.84
O 0.5000 0.0000 0.0000  2 F 1.84
F 0.0000 0.0000 0.5000  2 F 2.11
Sb 0.5000 0.5000 0.5000  4 F 2.60, 8 O 2.80
O 0.0000 0.5000 0.0000  2 F 1.84

Properties
* total magnetization: 0.416 μB per cell
* space-group type: P4/mmm, No. 123
* distance to the lowest polymorph of the same formula: 5.33 eV per formula unit
* total DFT energy (no corrections): -3.461 eV/atom
* uncorrected formation energy: 0.0956 eV per atom



[6]
Below is crystalline Sb3O3F at its relaxed geometry, with properties calculated at the GGA-PBE level.

Unit cell a=6.7100 b=6.7100 c=7.5468 alpha=63.60 beta=63.60 gamma=60.00
Closest atoms and distances in Å follow each position.
Fractional positions:
F 0.6929 0.6929 0.9212  3 Sb 2.59, 3 O 2.76
Sb 0.1826 0.5990 0.2804  3 O 2.09-2.31
Sb 0.4010 0.0620 0.7196  3 O 2.09-2.31
O 0.4569 0.2250 0.3996  3 Sb 2.09-2.31
Sb 0.0620 0.8174 0.7196  3 O 2.09-2.31
O 0.2250 0.9186 0.3996  3 Sb 2.09-2.31
O 0.9186 0.4569 0.3996  3 Sb 2.09-2.31
O 0.7750 0.0814 0.6004  3 Sb 2.09-2.31
O 0.5431 0.7750 0.6004  3 Sb 2.09-2.31
F 0.3071 0.3071 0.0788  3 Sb 2.59, 3 O 2.76
Sb 0.5990 0.9380 0.2804  3 O 2.09-2.31
Sb 0.8174 0.4010 0.7196  3 O 2.09-2.31
Sb 0.9380 0.1826 0.2804  3 O 2.09-2.31
O 0.0814 0.5431 0.6004  3 Sb 2.09-2.31

Properties
* total magnetization: 0.000 μB per cell
* space-group type: R-3, No. 148
* total DFT energy (no corrections): -5.291 eV/atom
* uncorrected formation energy: -1.1319 eV per atom



[7]
Below is crystalline SbOF at its relaxed geometry, with properties calculated at the GGA-PBE level.

Unit cell a=3.2762 b=3.2762 c=5.2113 alpha=108.32 beta=108.32 gamma=90.00
Closest atoms and distances in Å follow each position.
Fractional positions:
F 0.5818 0.5818 0.1636  1 Sb 1.95
O 0.8950 0.8950 0.7899  4 Sb 2.33
Sb 0.3732 0.3732 0.7465  1 F 1.95

Properties
* total magnetization: 0.000 μB per cell
* space-group type: I4mm, No. 107
* total DFT energy (no corrections): -5.165 eV/atom
* uncorrected formation energy: -1.5142 eV per atom



[8]
Below is crystalline SbO2F at its relaxed geometry, with properties calculated at the GGA-PBE level.

Unit cell a=5.2717 b=5.3164 c=5.2717 alpha=117.00 beta=56.48 gamma=117.00
Closest atoms and distances in Å follow each position.
Fractional positions:
F 0.1162 0.2500 0.3838  2 Sb 2.10
Sb 0.5000 0.5000 0.5000  4 O 1.95-1.96, 2 F 2.10
O 0.6149 0.7552 0.2581  2 Sb 1.95-1.96
O 0.2419 0.7448 0.8851  2 Sb 1.95-1.96
O 0.7581 0.2552 0.1149  2 Sb 1.95-1.96
O 0.3851 0.2448 0.7419  2 Sb 1.95-1.96
Sb 0.0000 0.0000 0.0000  4 O 1.95-1.96, 2 F 2.10
F 0.8838 0.7500 0.6162  2 Sb 2.10

Properties
* total magnetization: 0.000 μB per cell
* space-group type: C2/c, No. 15
* distance to the lowest polymorph of the same formula: 0.04 eV per formula unit
* total DFT energy (no corrections): -5.500 eV/atom
* uncorrected formation energy: -1.5222 eV per atom



[9]
Below is crystalline Sb3O2F5 at its relaxed geometry, with properties calculated at the GGA-PBE level.

Unit cell a=5.7875 b=6.7518 c=19.0274 alpha=90.00 beta=90.00 gamma=90.00
Closest atoms and distances in Å follow each position.
Fractional positions:
O 0.9956 0.6913 0.6753  2 Sb 1.99-2.02
O 0.5044 0.1913 0.3247  2 Sb 1.99-2.02
Sb 0.8737 0.4698 0.0972  2 F 1.99-2.00, 1 O 1.99
F 0.9135 0.6733 0.9686  1 Sb 2.00
O 0.5044 0.1913 0.1753  2 Sb 1.99-2.02
F 0.0865 0.3267 0.0314  1 Sb 2.00
F 0.3700 0.1609 0.8866  1 Sb 1.99
F 0.9141 0.6497 0.2500  1 Sb 2.02
F 0.0859 0.3503 0.7500  1 Sb 2.02
F 0.1300 0.6609 0.3866  1 Sb 1.99
F 0.1300 0.6609 0.1134  1 Sb 1.99
Sb 0.3737 0.0302 0.4028  2 F 1.99-2.00, 1 O 1.99
O 0.4956 0.8087 0.6753  2 Sb 1.99-2.02
Sb 0.6263 0.9698 0.9028  2 F 1.99-2.00, 1 O 1.99
F 0.4135 0.8267 0.9686  1 Sb 2.00
O 0.0044 0.3087 0.3247  2 Sb 1.99-2.02
Sb 0.6263 0.9698 0.5972  2 F 1.99-2.00, 1 O 1.99
O 0.0044 0.3087 0.1753  2 Sb 1.99-2.02
O 0.9956 0.6913 0.8247  2 Sb 1.99-2.02
Sb 0.3183 0.9585 0.7500  1 F 2.02, 2 O 2.02
Sb 0.1263 0.5302 0.9028  2 F 1.99-2.00, 1 O 1.99
Sb 0.3737 0.0302 0.0972  2 F 1.99-2.00, 1 O 1.99
F 0.3700 0.1609 0.6134  1 Sb 1.99
F 0.4135 0.8267 0.5314  1 Sb 2.00
O 0.4956 0.8087 0.8247  2 Sb 1.99-2.02
Sb 0.8737 0.4698 0.4028  2 F 1.99-2.00, 1 O 1.99
F 0.5859 0.1497 0.7500  1 Sb 2.02
F 0.5865 0.1733 0.4686  1 Sb 2.00
Sb 0.8183 0.5415 0.7500  1 F 2.02, 2 O 2.02
F 0.5865 0.1733 0.0314  1 Sb 2.00
Sb 0.1263 0.5302 0.5972  2 F 1.99-2.00, 1 O 1.99
F 0.9135 0.6733 0.5314  1 Sb 2.00
F 0.0865 0.3267 0.4686  1 Sb 2.00
Sb 0.1817 0.4585 0.2500  1 F 2.02, 2 O 2.02
Sb 0.6817 0.0415 0.2500  1 F 2.02, 2 O 2.02
F 0.8700 0.3391 0.6134  1 Sb 1.99
F 0.4141 0.8503 0.2500  1 Sb 2.02
F 0.6300 0.8391 0.1134  1 Sb 1.99
F 0.8700 0.3391 0.8866  1 Sb 1.99
F 0.6300 0.8391 0.3866  1 Sb 1.99

Properties
* total magnetization: 0.000 μB per cell
* space-group type: Pnma, No. 62
* distance to the lowest polymorph of the same formula: 0.54 eV per formula unit
* total DFT energy (no corrections): -5.165 eV/atom
* uncorrected formation energy: -2.0008 eV per atom



[10]
Below is crystalline SbOF at its relaxed geometry, with properties calculated at the GGA-PBE level.

Unit cell a=3.9129 b=3.9129 c=5.6971 alpha=90.00 beta=90.00 gamma=90.00
Closest atoms and distances in Å follow each position.
Fractional positions:
F 0.5000 0.5000 0.0000  4 Sb 2.55, 4 F 2.77, 2 O 2.85
O 0.5000 0.5000 0.5000  4 Sb 2.30
Sb 0.0000 0.5000 0.7131  4 O 2.30, 4 F 2.55
Sb 0.5000 0.0000 0.2869  4 O 2.30, 4 F 2.55
F 0.0000 0.0000 0.0000  4 Sb 2.55, 4 F 2.77, 2 O 2.85
O 0.0000 0.0000 0.5000  4 Sb 2.30

Properties
* total magnetization: 0.000 μB per cell
* space-group type: P4/nmm, No. 129
* total DFT energy (no corrections): -5.288 eV/atom
* uncorrected formation energy: -1.6377 eV per atom



[11]
Below is crystalline SbSeO2F at its relaxed geometry, with properties calculated at the GGA-PBE level.

Unit cell a=3.9494 b=3.9494 c=4.7597 alpha=90.00 beta=90.00 gamma=90.00
Closest atoms and distances in Å follow each position.
Fractional positions:
O 0.0000 0.5000 0.0000  2 Se 1.97
F 0.0000 0.0000 0.5000  2 Se 2.38
Sb 0.5000 0.5000 0.5000  4 F 2.79, 8 O 3.09
O 0.5000 0.0000 0.0000  2 Se 1.97
Se 0.0000 0.0000 0.0000  4 O 1.97

Properties
* total magnetization: 0.000 μB per cell
* space-group type: P4/mmm, No. 123
* total DFT energy (no corrections): -4.115 eV/atom
* uncorrected formation energy: -0.2356 eV per atom



[12]
Below is crystalline SbSe2OF at its relaxed geometry, with properties calculated at the GGA-PBE level.

Unit cell a=4.3673 b=4.8485 c=4.3673 alpha=90.00 beta=90.00 gamma=90.00
Closest atoms and distances in Å follow each position.
Fractional positions:
Se 0.5000 0.0000 0.0000  2 O 2.18
O 0.0000 0.0000 0.0000  4 Se 2.18, 2 Sb 2.42
Sb 0.0000 0.5000 0.0000  2 O 2.42
Se 0.0000 0.0000 0.5000  2 O 2.18
F 0.5000 0.5000 0.5000  4 Sb 3.09, 8 Se 3.26

Properties
* total magnetization: 0.000 μB per cell
* space-group type: P4/mmm, No. 123
* total DFT energy (no corrections): -3.559 eV/atom
* uncorrected formation energy: 0.0250 eV per atom